# NdWC2

NdWC2 after structural relaxation (PBE, Alexandria via LeMat-Bulk).

Cell lengths 3.291, 3.291, 6.071 Å; angles 74.27, 74.27, 60.00 degrees
Fractional positions:
1 Nd 0.500 0.500 0.500
2 W 0.000 0.000 0.000
3 C 0.733 0.733 0.801
4 C 0.267 0.267 0.199

The volume comes out at 13.52 Å³ per atom.

***

# Nd3WC4

Nd3WC4 after structural relaxation (PBE, Alexandria via LeMat-Bulk).

Cell lengths 5.608, 6.972, 7.989 Å; angles 90.00, 90.00, 90.00 degrees
Fractional positions:
1 Nd 0.533 0.329 0.747
2 Nd 0.033 0.671 0.753
3 Nd 0.533 0.329 0.253
4 Nd 0.033 0.671 0.247
5 Nd 0.033 0.145 0.500
6 Nd 0.533 0.855 0.000
7 C 0.583 0.688 0.283
8 C 0.583 0.688 0.717
9 C 0.579 0.106 0.500
10 C 0.083 0.312 0.783
11 C 0.164 0.818 0.500
12 C 0.664 0.182 0.000
13 C 0.079 0.894 0.000
14 C 0.083 0.312 0.217
15 W 0.008 0.177 0.000
16 W 0.508 0.823 0.500

The volume comes out at 19.52 Å³ per atom.

***

Number 1: E_form 26 kJ/mol of formula units, total energy -8.976 eV/atom. Number 2: E_form 55 kJ/mol of formula units, total energy -7.948 eV/atom.